# SbRh2, relaxed, DFT GGA-PBE
data_SbRh2
_cell_length_a 8.0480
_cell_length_b 5.6327
_cell_length_c 4.5729
_cell_angle_alpha 90.00
_cell_angle_beta 90.00
_cell_angle_gamma 90.00
_space_group_name_H-M_alt 'C m c m'
_space_group_IT_number 63
_space_group_name_Hall '-C 2c 2'
loop_
_atom_site_label
_atom_site_fract_x
_atom_site_fract_y
_atom_site_fract_z
Sb1 0.0000 0.2387 0.2500
Rh1 0.1842 0.3584 0.7500
# ρ ... 10.5 g cm⁻³
# Uncorrected formation energy ... -0.2120 eV/atom
# VASP energy ... -6.49 eV per atom
# Crystal system ... orthorhombic

# SbRh, relaxed, DFT GGA-PBE
data_SbRh
_cell_length_a 3.9307
_cell_length_b 3.9307
_cell_length_c 9.5511
_cell_angle_alpha 90.00
_cell_angle_beta 90.00
_cell_angle_gamma 90.00
_space_group_name_H-M_alt 'I 41/a m d'
_space_group_IT_number 141
loop_
_space_group_symop_operation_xyz
'x,y,z'
'-x,-y,-z'
'-y+1/4,x+3/4,z+1/4'
'y+1/4,-x+3/4,-z+1/4'
'-x+1/2,-y,z+1/2'
'x+1/2,y,-z+1/2'
'y+1/4,-x+1/4,z+3/4'
'-y+1/4,x+1/4,-z+3/4'
'x,-y,-z'
'-x,y,z'
'-y+1/4,-x+1/4,-z+3/4'
'y+1/4,x+1/4,z+3/4'
'-x+1/2,y,-z+1/2'
'x+1/2,-y,z+1/2'
'y+1/4,x+3/4,-z+1/4'
'-y+1/4,-x+3/4,z+1/4'
'x+1/2,y+1/2,z+1/2'
'-x+1/2,-y+1/2,-z+1/2'
'-y+3/4,x+1/4,z+3/4'
'y+3/4,-x+1/4,-z+3/4'
'-x,-y+1/2,z'
'x,y+1/2,-z'
'y+3/4,-x+3/4,z+1/4'
'-y+3/4,x+3/4,-z+1/4'
'x+1/2,-y+1/2,-z+1/2'
'-x+1/2,y+1/2,z+1/2'
'-y+3/4,-x+3/4,-z+1/4'
'y+3/4,x+3/4,z+1/4'
'-x,y+1/2,-z'
'x,-y+1/2,z'
'y+3/4,x+1/4,-z+3/4'
'-y+3/4,-x+1/4,z+3/4'
loop_
_atom_site_label
_atom_site_fract_x
_atom_site_fract_y
_atom_site_fract_z
Sb1 0.0000 0.2500 0.3750
Rh1 0.0000 0.2500 0.8750
# ρ ... 10.1 g cm⁻³
# Uncorrected formation energy ... -0.0891 eV/atom
# VASP energy ... -5.83 eV per atom
# Crystal system ... tetragonal